P.
PBE-GGA CsTcSe3, optimized geometry; mass density = 4.40 g cm⁻³
1.0
8.074 0.000 0.000
0.000 6.416 0.000
-7.663 0.000 13.632
Cs Tc Se
4 4 12
direct
0.116 0.247 0.149 Cs
0.116 0.253 0.649 Cs
0.884 0.747 0.351 Cs
0.884 0.753 0.851 Cs
0.422 0.203 0.477 Tc
0.422 0.297 0.977 Tc
0.578 0.703 0.023 Tc
0.578 0.797 0.523 Tc
0.090 0.239 0.389 Se
0.090 0.261 0.889 Se
0.394 0.555 0.559 Se
0.394 0.945 0.059 Se
0.448 0.555 0.866 Se
0.448 0.945 0.366 Se
0.552 0.055 0.634 Se
0.552 0.445 0.134 Se
0.606 0.055 0.941 Se
0.606 0.445 0.441 Se
0.910 0.739 0.111 Se
0.910 0.761 0.611 Se

Q.
PBE-GGA CsTcSe3, optimized geometry; mass density = 4.27 g cm⁻³
1.0
5.665 0.000 0.000
0.000 5.665 0.000
0.000 0.000 5.665
Cs Tc Se
1 1 3
direct
0.000 0.000 0.000 Cs
0.500 0.500 0.500 Tc
0.000 0.000 0.500 Se
0.000 0.500 0.000 Se
0.500 0.000 0.000 Se

R.
PBE-GGA CsTcSe3, optimized geometry; mass density = 5.93 g cm⁻³
1.0
5.079 0.000 0.000
0.000 5.079 0.000
0.000 0.000 5.079
Cs Tc Se
1 1 3
direct
0.000 0.000 0.000 Cs
0.500 0.500 0.500 Tc
0.000 0.500 0.500 Se
0.500 0.000 0.500 Se
0.500 0.500 0.000 Se

P is preferred energetically. Next in line: 37.1 kJ/mol of atoms higher.

P.
PBE-GGA CsTcSe2, optimized geometry; mass density = 5.31 g cm⁻³
1.0
3.844 0.000 0.000
-1.922 3.329 0.000
0.000 0.000 28.512
Cs Tc Se
3 3 6
direct
0.000 0.000 0.000 Cs
0.333 0.667 0.667 Cs
0.667 0.333 0.333 Cs
0.000 0.000 0.500 Tc
0.333 0.667 0.167 Tc
0.667 0.333 0.833 Tc
0.000 0.000 0.119 Se
0.000 0.000 0.881 Se
0.333 0.667 0.548 Se
0.333 0.667 0.785 Se
0.667 0.333 0.215 Se
0.667 0.333 0.452 Se

Q.
PBE-GGA CsTcSe2, optimized geometry; mass density = 4.91 g cm⁻³
1.0
7.645 0.000 0.000
0.000 7.645 0.000
0.000 0.000 9.007
Cs Tc Se
4 4 8
direct
0.000 0.000 0.000 Cs
0.000 0.500 0.250 Cs
0.500 0.000 0.750 Cs
0.500 0.500 0.500 Cs
0.000 0.000 0.500 Tc
0.000 0.500 0.750 Tc
0.500 0.000 0.250 Tc
0.500 0.500 0.000 Tc
0.118 0.250 0.625 Se
0.250 0.618 0.875 Se
0.250 0.882 0.375 Se
0.382 0.250 0.125 Se
0.618 0.750 0.125 Se
0.750 0.118 0.375 Se
0.750 0.382 0.875 Se
0.882 0.750 0.625 Se

Q is preferred energetically. Next in line: 27.2 kJ/mol of atoms higher.

P.
PBE-GGA CsTe2Se2, optimized geometry; mass density = 5.37 g cm⁻³
1.0
4.761 0.000 0.000
0.000 4.761 0.000
0.000 0.000 14.895
Cs Te Se
2 4 4
direct
0.000 0.000 0.000 Cs
0.500 0.500 0.500 Cs
0.000 0.500 0.250 Te
0.000 0.500 0.750 Te
0.500 0.000 0.250 Te
0.500 0.000 0.750 Te
0.000 0.000 0.422 Se
0.000 0.000 0.578 Se
0.500 0.500 0.078 Se
0.500 0.500 0.922 Se

Q.
PBE-GGA CsTe2Se2, optimized geometry; mass density = 4.38 g cm⁻³
1.0
5.376 0.000 0.000
0.001 6.105 0.000
2.573 0.037 6.309
Cs Te Se
1 2 2
direct
0.000 0.000 0.000 Cs
0.277 0.256 0.428 Te
0.723 0.744 0.572 Te
0.265 0.752 0.437 Se
0.735 0.248 0.563 Se

Q is preferred energetically. Next in line: 17.9 kJ/mol of atoms higher.